Mg2ZnP, single point on PBEsol structure, DFT meta-GGA SCAN; ρ = 3.40 g/cm3; distance to the lowest polymorph of the same formula = 9.9 kJ/mol of atoms; DOS(E_F) = 6.371 states/eV per cell; space group = No. 225; calculated total energy = -8.563 eV per atom; DFT formation energy = -0.098 eV per atom
1.0
6.569 0.000 0.000
0.000 6.569 0.000
0.000 0.000 6.569
Mg Zn P
8 4 4
Direct
0.250 0.250 0.250 Mg
0.250 0.250 0.750 Mg
0.250 0.750 0.250 Mg
0.250 0.750 0.750 Mg
0.750 0.250 0.250 Mg
0.750 0.250 0.750 Mg
0.750 0.750 0.250 Mg
0.750 0.750 0.750 Mg
0.000 0.000 0.000 Zn
0.000 0.500 0.500 Zn
0.500 0.000 0.500 Zn
0.500 0.500 0.000 Zn
0.000 0.000 0.500 P
0.000 0.500 0.000 P
0.500 0.000 0.000 P
0.500 0.500 0.500 P